Computed, not measured: a relaxed Tc2AsPb crystal at the GGA-PBE level of DFT. Values from VASP.

```
&SYSTEM
  ibrav = 0, nat = 4, ntyp = 3
/
ATOMIC_SPECIES
Tc 98.00 Tc.upf
As 74.92 As.upf
Pb 207.20 Pb.upf
ATOMIC_POSITIONS crystal
Tc 0.0000 0.0000 0.0000
Tc 0.5000 0.0000 0.5000
As 0.0000 0.5000 0.5000
Pb 0.5000 0.5000 0.0000
CELL_PARAMETERS angstrom
3.2234 0.0000 0.0000
0.0000 4.2447 0.0000
0.0000 0.0000 5.2591
```

## Properties
- formation energy from the elements (eV per formula unit) = 2.83
- DOS at the Fermi energy (states/eV per cell) = 4.00